This record from Alexandria describes crystalline TaAg at its relaxed geometry. The functional is PBE.

Computed properties:
Its density is 13.37 g/cm3. For the energy, the calculation gives -42.1 eV for the cell shown. Its volume is 17.93 Å³/atom. Its crystal system is trigonal. The calculation puts the formation energy at 341 meV per atom.

Unit cell a=2.8692 b=2.8692 c=15.0920 alpha=90.00 beta=90.00 gamma=120.00
Closest atoms and distances in Å follow each position.
Space group R-3m (No. 166, hexagonal axes)
One atom of each set of equivalent atoms:
Ta 0.0000 0.0000 0.0000 (multiplicity 3)  6 Ta 2.87, 6 Ag 3.01
Ag 0.0000 0.0000 0.5000 (multiplicity 3)  6 Ag 2.87, 6 Ta 3.01

***

This record from Alexandria describes crystalline Ta3Ag5 at its relaxed geometry. The functional is PBE.

Computed properties:
Its density is 11.70 g/cm3. The energy above the most stable polymorph in this dataset comes out at 226 meV/atom. For the energy, the calculation gives -88.1 eV for the cell shown. Its volume is 19.20 Å³/atom. Its crystal system is hexagonal. The calculation puts the formation energy at 721 meV per atom.

Unit cell a=8.2638 b=8.2638 c=5.1956 alpha=90.00 beta=90.00 gamma=120.00
Closest atoms and distances in Å follow each position.
Space group P6_3/mcm (No. 193)
One atom of each set of equivalent atoms:
Ta 0.0000 0.4376 0.2500 (multiplicity 6)  5 Ag 2.76-2.92, 2 Ta 2.79
Ag 0.0000 0.2091 0.7500 (multiplicity 6)  5 Ta 2.92-3.21, 6 Ag 2.99-3.12
Ag 0.3333 0.6667 0.0000 (multiplicity 4)  2 Ag 2.60, 6 Ta 2.76

***

This record from Alexandria describes crystalline TaAg at its relaxed geometry. The functional is PBE.

Computed properties:
Its density is 9.03 g/cm3. For the energy, the calculation gives -41.5 eV for the cell shown. Its volume is 26.55 Å³/atom. Its crystal system is cubic. The calculation puts the formation energy at 2162 meV per atom.

Unit cell a=5.9662 b=5.9662 c=5.9662 alpha=90.00 beta=90.00 gamma=90.00
Closest atoms and distances in Å follow each position.
Space group F-43m (No. 216)
One atom of each set of equivalent atoms:
Ta 0.0000 0.0000 0.0000 (multiplicity 4)  4 Ag 2.58
Ag 0.2500 0.2500 0.7500 (multiplicity 4)  4 Ta 2.58

***

This record from Alexandria describes crystalline Ta3Ag at its relaxed geometry. The functional is PBE.

Computed properties:
Its density is 14.89 g/cm3. The energy above the most stable polymorph in this dataset comes out at 206 meV/atom. For the energy, the calculation gives -74.2 eV for the cell shown. Its volume is 18.14 Å³/atom. Its crystal system is hexagonal. The calculation puts the formation energy at 323 meV per atom.

Unit cell a=5.8701 b=5.8701 c=4.8626 alpha=90.00 beta=90.00 gamma=120.00
Closest atoms and distances in Å follow each position.
Space group P6_3/mmc (No. 194)
One atom of each set of equivalent atoms:
Ta 0.1641 0.3282 0.2500 (multiplicity 6)  8 Ta 2.89-2.98, 4 Ag 2.94-2.98
Ag 0.3333 0.6667 0.7500 (multiplicity 2)  12 Ta 2.94-2.98

***

This record from Alexandria describes crystalline TaAg2 at its relaxed geometry. The functional is PBE.

Computed properties:
Its density is 11.26 g/cm3. For the energy, the calculation gives -44.5 eV for the cell shown. Its volume is 19.50 Å³/atom. Its crystal system is hexagonal. The calculation puts the formation energy at 909 meV per atom.

Unit cell a=6.6364 b=6.6364 c=4.6014 alpha=90.00 beta=90.00 gamma=120.00
Closest atoms and distances in Å follow each position.
Space group P-62m (No. 189)
One atom of each set of equivalent atoms:
Ta 0.0000 0.0000 0.0000 (multiplicity 1)  6 Ag 2.78
Ta 0.3333 0.6667 0.5000 (multiplicity 2)  3 Ag 2.60
Ag 0.0000 0.2351 0.5000 (multiplicity 3)  4 Ta 2.60-2.78, 4 Ag 2.70-2.83
Ag 0.0000 0.4834 0.0000 (multiplicity 3)  2 Ag 2.83, 4 Ta 3.00

***

This record from Alexandria describes crystalline Ta4Ag5 at its relaxed geometry. The functional is PBE.

Computed properties:
Its density is 12.67 g/cm3. For the energy, the calculation gives -118.9 eV for the cell shown. Its volume is 18.39 Å³/atom. Its crystal system is tetragonal. The calculation puts the formation energy at 244 meV per atom.

Unit cell a=9.8406 b=9.8406 c=3.4192 alpha=90.00 beta=90.00 gamma=90.00
Closest atoms and distances in Å follow each position.
Space group I4/mmm (No. 139)
One atom of each set of equivalent atoms:
Ta 0.0000 0.3463 0.0000 (multiplicity 8)  5 Ta 2.74-3.03, 4 Ag 2.96
Ag 0.0000 0.0000 0.0000 (multiplicity 2)  8 Ag 2.89
Ag 0.1673 0.1673 0.5000 (multiplicity 8)  4 Ag 2.87-2.89, 4 Ta 2.96